<w>
VASP calculation (PBE) on Cs2CaVBr6 after structural relaxation.

It has space group R-3m (No. 166, hexagonal axes), with a = 7.8912 Å, b = 7.8912 Å, c = 39.5059 Å, α = 90.00°, β = 90.00° and γ = 120.00°. Symmetry generates all atoms from Cs at (0.0000, 0.0000, 0.1259), Cs at (0.0000, 0.0000, 0.2926), Ca at (0.0000, 0.0000, 0.4129), V at (0.0000, 0.0000, 0.0000), V at (0.0000, 0.0000, 0.5000), Br at (0.0163, 0.5081, 0.1276) and Br at (0.0165, 0.5082, 0.7057).

=====

<x>
VASP calculation (PBE) on Cs2CaVBr6 after structural relaxation.

The calculation puts the density of states at the Fermi level at 0.00 states/eV/cell.

It has space group Fm-3m (No. 225), with a = 11.111 Å, b = 11.111 Å, c = 11.111 Å, α = 90.00°, β = 90.00° and γ = 90.00°. Symmetry generates all atoms from Cs at (0.250, 0.250, 0.250), Ca at (0.000, 0.000, 0.000), V at (0.000, 0.000, 0.500) and Br at (0.000, 0.000, 0.260).

=====

Most stable structure, least stable structure: <w>, <x>.